The following is a PBE calculation of a relaxed structure of Tc2PCl, from Alexandria.

Unit cell a=6.216 b=3.567 c=6.929 alpha=90.00 beta=115.20 gamma=90.00
Element x y z (fractional)
Tc1 0.091 0.000 0.340
Tc2 0.409 0.500 0.660
Tc3 0.591 0.500 0.340
Tc4 0.909 0.000 0.660
P1 0.000 0.500 0.500
P2 0.500 0.000 0.500
Cl1 0.000 0.500 0.000
Cl2 0.500 0.000 0.000

The space-group type is No. 12. For the density of states at the Fermi level, the calculation gives 0.486 states/eV per atom. The distance to the lowest polymorph of the same formula is 0.000 eV/atom. The crystal system is monoclinic. The calculation puts the total magnetization at 0.00 μB/cell. Its energy relative to the elements, uncorrected is -71 meV per atom. The value obtained for the raw total energy is -7.068 eV per atom.



The following is a PBE calculation of a relaxed structure of Tc2PCl, from Alexandria.

Unit cell a=2.967 b=4.196 c=6.640 alpha=90.00 beta=98.01 gamma=90.00
Element x y z (fractional)
Tc1 0.000 0.000 0.000
Tc2 0.486 0.500 0.860
P1 0.415 0.000 0.713
Cl1 0.837 0.500 0.210

The space-group type is No. 6. For the density of states at the Fermi level, the calculation gives 0.708 states/eV per atom. The distance to the lowest polymorph of the same formula is 0.122 eV/atom. The crystal system is monoclinic. The calculation puts the total magnetization at 0.00 μB/cell. Its energy relative to the elements, uncorrected is 51 meV per atom. The value obtained for the raw total energy is -6.946 eV per atom.



The following is a PBE calculation of a relaxed structure of TcPCl2, from Alexandria.

Unit cell a=5.680 b=8.397 c=4.126 alpha=90.00 beta=133.09 gamma=90.00
Element x y z (fractional)
Tc1 0.000 0.000 0.000
Tc2 0.500 0.500 0.000
P1 0.000 0.500 0.000
P2 0.500 0.000 0.000
Cl1 0.250 0.250 0.500
Cl2 0.250 0.750 0.500
Cl3 0.750 0.250 0.500
Cl4 0.750 0.750 0.500

The space-group type is No. 12. For the density of states at the Fermi level, the calculation gives 0.887 states/eV per atom. The distance to the lowest polymorph of the same formula is 1.075 eV/atom. The crystal system is monoclinic. The calculation puts the total magnetization at 4.55 μB/cell. Its energy relative to the elements, uncorrected is 631 meV per atom. The value obtained for the raw total energy is -4.237 eV per atom.



The following is a PBE calculation of a relaxed structure of Tc2PCl, from Alexandria.

Unit cell a=2.945 b=4.976 c=9.772 alpha=90.00 beta=90.00 gamma=90.00
Element x y z (fractional)
Tc1 0.000 0.000 0.000
Tc2 0.000 0.500 0.235
Tc3 0.500 0.000 0.235
Tc4 0.500 0.500 0.000
P1 0.000 0.000 0.421
P2 0.500 0.500 0.421
Cl1 0.000 0.500 0.804
Cl2 0.500 0.000 0.804

The space-group type is No. 35. For the density of states at the Fermi level, the calculation gives 0.929 states/eV per atom. The distance to the lowest polymorph of the same formula is 0.400 eV/atom. The crystal system is orthorhombic. The calculation puts the total magnetization at 1.83 μB/cell. Its energy relative to the elements, uncorrected is 329 meV per atom. The value obtained for the raw total energy is -6.668 eV per atom.



The following is a PBE calculation of a relaxed structure of TcPCl2, from Alexandria.

Unit cell a=2.985 b=4.317 c=5.379 alpha=90.00 beta=90.00 gamma=90.00
Element x y z (fractional)
Tc1 0.000 0.000 0.000
P1 0.500 0.000 0.500
Cl1 0.000 0.500 0.500
Cl2 0.500 0.500 0.000

The space-group type is No. 47. For the density of states at the Fermi level, the calculation gives 0.692 states/eV per atom. The distance to the lowest polymorph of the same formula is 1.138 eV/atom. The crystal system is orthorhombic. The calculation puts the total magnetization at 2.67 μB/cell. Its energy relative to the elements, uncorrected is 694 meV per atom. The value obtained for the raw total energy is -4.174 eV per atom.



The following is a PBE calculation of a relaxed structure of Tc2PCl, from Alexandria.

Unit cell a=2.934 b=2.934 c=22.989 alpha=90.00 beta=90.00 gamma=120.00
Element x y z (fractional)
Tc1 0.000 0.000 0.244
Tc2 0.000 0.000 0.756
Tc3 0.333 0.667 0.423
Tc4 0.333 0.667 0.910
Tc5 0.667 0.333 0.090
Tc6 0.667 0.333 0.577
P1 0.000 0.000 0.500
P2 0.333 0.667 0.167
P3 0.667 0.333 0.833
Cl1 0.000 0.000 0.000
Cl2 0.333 0.667 0.667
Cl3 0.667 0.333 0.333

The space-group type is No. 166. For the density of states at the Fermi level, the calculation gives 0.807 states/eV per atom. The distance to the lowest polymorph of the same formula is 0.150 eV/atom. The crystal system is trigonal. The calculation puts the total magnetization at 0.00 μB/cell. Its energy relative to the elements, uncorrected is 79 meV per atom. The value obtained for the raw total energy is -6.918 eV per atom.